1.
# PBE K2Np2CoSe6, relaxed
# - Raw total energy: -6.0285 eV per atom
# - Calculated volume: 319 Å³ per cell
# - Raw formation energy: -10.22 eV per formula unit
data_K2Np2CoSe6
_cell_length_a 6.801
_cell_length_b 6.801
_cell_length_c 8.267
_cell_angle_alpha 98.37
_cell_angle_beta 98.37
_cell_angle_gamma 119.31
_symmetry_space_group_name_H-M 'P 1'
_symmetry_Int_Tables_number 1
loop_
_symmetry_equiv_pos_as_xyz
'x,y,z'
loop_
_atom_site_label
_atom_site_type_symbol
_atom_site_fract_x
_atom_site_fract_y
_atom_site_fract_z
_atom_site_occupancy
Se1 Se 0.765 0.765 0.688 1
Se2 Se 0.235 0.235 0.312 1
Se3 Se 0.929 0.623 0.307 1
Se4 Se 0.623 0.929 0.307 1
Se5 Se 0.071 0.377 0.693 1
Se6 Se 0.377 0.071 0.693 1
Np1 Np 0.668 0.332 0.500 1
Np2 Np 0.332 0.668 0.500 1
Co1 Co 0.000 0.000 0.500 1
K1 K 0.172 0.828 0.000 1
K2 K 0.828 0.172 0.000 1



2.
# PBE YAgPb2, relaxed
# - Raw total energy: -4.1942 eV per atom
# - Calculated volume: 109 Å³ per cell
# - Energy of formation from the pure elements: -0.04 eV per formula unit
data_YAgPb2
_cell_length_a 10.624
_cell_length_b 10.624
_cell_length_c 10.624
_cell_angle_alpha 18.83
_cell_angle_beta 18.83
_cell_angle_gamma 18.83
_symmetry_space_group_name_H-M 'P 1'
_symmetry_Int_Tables_number 1
loop_
_symmetry_equiv_pos_as_xyz
'x,y,z'
loop_
_atom_site_label
_atom_site_type_symbol
_atom_site_fract_x
_atom_site_fract_y
_atom_site_fract_z
_atom_site_occupancy
Pb1 Pb 0.493 0.493 0.493 1
Pb2 Pb 0.007 0.007 0.007 1
Ag1 Ag 0.750 0.750 0.750 1
Y1 Y 0.250 0.250 0.250 1



3.
# PBE DySc3Ni, relaxed
# - Raw total energy: -5.9583 eV per atom
# - Calculated volume: 123 Å³ per cell
# - Energy of formation from the pure elements: -0.41 eV per formula unit
data_DySc3Ni
_cell_length_a 4.973
_cell_length_b 4.973
_cell_length_c 4.973
_cell_angle_alpha 90.00
_cell_angle_beta 90.00
_cell_angle_gamma 90.00
_symmetry_space_group_name_H-M 'P 1'
_symmetry_Int_Tables_number 1
loop_
_symmetry_equiv_pos_as_xyz
'x,y,z'
loop_
_atom_site_label
_atom_site_type_symbol
_atom_site_fract_x
_atom_site_fract_y
_atom_site_fract_z
_atom_site_occupancy
Ni1 Ni 0.000 0.000 0.000 1
Dy1 Dy 0.500 0.500 0.500 1
Sc1 Sc 0.000 0.500 0.000 1
Sc2 Sc 0.500 0.000 0.000 1
Sc3 Sc 0.000 0.000 0.500 1



4.
# PBE Ba2SiSb, relaxed
# - Energy above the most stable polymorph in this dataset: 0.225 eV per atom
# - Raw total energy: -3.7031 eV per atom
# - Calculated volume: 178 Å³ per cell
# - Raw formation energy: -1.42 eV per formula unit
data_Ba2SiSb
_cell_length_a 9.335
_cell_length_b 9.335
_cell_length_c 9.335
_cell_angle_alpha 29.84
_cell_angle_beta 29.84
_cell_angle_gamma 29.84
_symmetry_space_group_name_H-M 'P 1'
_symmetry_Int_Tables_number 1
loop_
_symmetry_equiv_pos_as_xyz
'x,y,z'
loop_
_atom_site_label
_atom_site_type_symbol
_atom_site_fract_x
_atom_site_fract_y
_atom_site_fract_z
_atom_site_occupancy
Ba1 Ba 0.041 0.041 0.041 1
Ba2 Ba 0.210 0.210 0.210 1
Si1 Si 0.786 0.786 0.786 1
Sb1 Sb 0.463 0.463 0.463 1



5.
# PBE Pm3Zn4Au4, relaxed
# - Energy above the most stable polymorph in this dataset: 0.000 eV per atom
# - Raw total energy: -3.5562 eV per atom
# - Calculated volume: 233 Å³ per cell
# - Energy of formation from the pure elements: -6.66 eV per formula unit
data_Pm3Zn4Au4
_cell_length_a 4.346
_cell_length_b 7.353
_cell_length_c 8.461
_cell_angle_alpha 115.76
_cell_angle_beta 104.88
_cell_angle_gamma 90.00
_symmetry_space_group_name_H-M 'P 1'
_symmetry_Int_Tables_number 1
loop_
_symmetry_equiv_pos_as_xyz
'x,y,z'
loop_
_atom_site_label
_atom_site_type_symbol
_atom_site_fract_x
_atom_site_fract_y
_atom_site_fract_z
_atom_site_occupancy
Zn1 Zn 0.672 0.861 0.343 1
Zn2 Zn 0.328 0.518 0.657 1
Zn3 Zn 0.672 0.482 0.343 1
Zn4 Zn 0.328 0.139 0.657 1
Au1 Au 0.500 0.196 0.000 1
Au2 Au 0.782 0.282 0.565 1
Au3 Au 0.218 0.718 0.435 1
Au4 Au 0.500 0.804 0.000 1
Pm1 Pm 0.871 0.871 0.742 1
Pm2 Pm 0.129 0.129 0.258 1
Pm3 Pm 0.000 0.500 0.000 1



6.
# PBE CeDy2Pu3S6, relaxed
# - Raw total energy: -8.8184 eV per atom
# - Calculated volume: 261 Å³ per cell
# - Raw formation energy: -22.92 eV per formula unit
data_CeDy2Pu3S6
_cell_length_a 3.940
_cell_length_b 7.923
_cell_length_c 8.824
_cell_angle_alpha 102.88
_cell_angle_beta 102.90
_cell_angle_gamma 90.00
_symmetry_space_group_name_H-M 'P 1'
_symmetry_Int_Tables_number 1
loop_
_symmetry_equiv_pos_as_xyz
'x,y,z'
loop_
_atom_site_label
_atom_site_type_symbol
_atom_site_fract_x
_atom_site_fract_y
_atom_site_fract_z
_atom_site_occupancy
S1 S 0.332 0.418 0.665 1
S2 S 0.002 0.257 0.003 1
S3 S 0.669 0.088 0.338 1
S4 S 0.668 0.582 0.335 1
S5 S 0.331 0.912 0.662 1
S6 S 0.998 0.743 0.997 1
Pu1 Pu 0.835 0.166 0.670 1
Pu2 Pu 0.165 0.834 0.330 1
Pu3 Pu 0.500 0.500 0.000 1
Dy1 Dy 0.833 0.666 0.666 1
Dy2 Dy 0.167 0.334 0.334 1
Ce1 Ce 0.500 0.000 0.000 1



7.
# PBE Ba2ZrAg, relaxed
# - Energy above the most stable polymorph in this dataset: 0.122 eV per atom
# - Raw total energy: -3.4633 eV per atom
# - Calculated volume: 142 Å³ per cell
# - Energy of formation from the pure elements: 1.39 eV per formula unit
data_Ba2ZrAg
_cell_length_a 3.803
_cell_length_b 3.803
_cell_length_c 9.806
_cell_angle_alpha 90.00
_cell_angle_beta 90.00
_cell_angle_gamma 90.00
_symmetry_space_group_name_H-M 'P 1'
_symmetry_Int_Tables_number 1
loop_
_symmetry_equiv_pos_as_xyz
'x,y,z'
loop_
_atom_site_label
_atom_site_type_symbol
_atom_site_fract_x
_atom_site_fract_y
_atom_site_fract_z
_atom_site_occupancy
Ba1 Ba 0.000 0.000 0.522 1
Ba2 Ba 0.000 0.000 0.978 1
Ag1 Ag 0.500 0.500 0.750 1
Zr1 Zr 0.500 0.500 0.250 1



8.
# PBE Y2MgCoC, relaxed
# - Raw total energy: -6.3924 eV per atom
# - Calculated volume: 95 Å³ per cell
# - Energy of formation from the pure elements: -1.11 eV per formula unit
data_Y2MgCoC
_cell_length_a 5.084
_cell_length_b 5.084
_cell_length_c 3.684
_cell_angle_alpha 90.00
_cell_angle_beta 90.00
_cell_angle_gamma 90.00
_symmetry_space_group_name_H-M 'P 1'
_symmetry_Int_Tables_number 1
loop_
_symmetry_equiv_pos_as_xyz
'x,y,z'
loop_
_atom_site_label
_atom_site_type_symbol
_atom_site_fract_x
_atom_site_fract_y
_atom_site_fract_z
_atom_site_occupancy
Co1 Co 0.000 0.000 0.500 1
Y1 Y 0.500 0.000 0.000 1
Y2 Y 0.000 0.500 0.000 1
C1 C 0.000 0.000 0.000 1
Mg1 Mg 0.500 0.500 0.500 1